[1]
Density functional theory data (PBE) for a geometry-optimized NdDy2Y structure.

Summary:
Total moment = 0.000 μB/atom
Calculated formation energy = 0.016 eV per atom
SG = Imm2, No. 44
Calculated volume = 33.0 A^3/atom
VASP energy = -5.0927 eV/atom

Lattice parameters (Å, degrees): 3.660 11.458 6.300 90.00 90.00 90.00
Sites, in units of the cell vectors:
Nd 0.000 0.000 0.000
Nd 0.500 0.500 0.500
Dy 0.000 0.249 0.665
Dy 0.000 0.751 0.665
Dy 0.500 0.251 0.165
Dy 0.500 0.749 0.165
Y 0.000 0.500 0.998
Y 0.500 0.000 0.498

[2]
Density functional theory data (PBE) for a geometry-optimized NdDyY2 structure.

Summary:
Total moment = 0.000 μB/atom
Calculated formation energy = 0.022 eV per atom
SG = P4/mmm, No. 123
Calculated volume = 32.8 A^3/atom
VASP energy = -5.5521 eV/atom

Lattice parameters (Å, degrees): 3.592 3.592 10.168 90.00 90.00 90.00
Sites, in units of the cell vectors:
Nd 0.000 0.000 0.000
Dy 0.000 0.000 0.500
Y 0.500 0.500 0.254
Y 0.500 0.500 0.746

[3]
Density functional theory data (PBE) for a geometry-optimized Nd4Dy2Y5 structure.

Summary:
Total moment = 0.000 μB/atom
Calculated formation energy = 0.093 eV per atom
SG = C2/m, No. 12
Calculated volume = 33.9 A^3/atom
VASP energy = -5.4158 eV/atom

Lattice parameters (Å, degrees): 12.242 12.242 8.716 95.61 95.61 16.65
Sites, in units of the cell vectors:
Nd 0.048 0.048 0.349
Nd 0.273 0.273 0.172
Nd 0.727 0.727 0.828
Nd 0.952 0.952 0.651
Dy 0.359 0.359 0.872
Dy 0.641 0.641 0.128
Y 0.095 0.095 0.776
Y 0.188 0.188 0.480
Y 0.500 0.500 0.000
Y 0.812 0.812 0.520
Y 0.905 0.905 0.224

[4]
Density functional theory data (PBE) for a geometry-optimized Nd4Dy2Y5 structure.

Summary:
Total moment = 0.000 μB/atom
Calculated formation energy = 0.102 eV per atom
SG = C2/m, No. 12
Calculated volume = 34.0 A^3/atom
VASP energy = -5.4068 eV/atom

Lattice parameters (Å, degrees): 12.246 12.246 8.699 94.50 94.50 16.72
Sites, in units of the cell vectors:
Nd 0.040 0.040 0.343
Nd 0.275 0.275 0.174
Nd 0.725 0.725 0.826
Nd 0.960 0.960 0.657
Dy 0.412 0.412 0.304
Dy 0.588 0.588 0.696
Y 0.130 0.130 0.046
Y 0.185 0.185 0.474
Y 0.500 0.500 0.000
Y 0.815 0.815 0.526
Y 0.870 0.870 0.954

[5]
Density functional theory data (PBE) for a geometry-optimized Nd5DyY4 structure.

Summary:
Total moment = 0.000 μB/atom
Calculated formation energy = 0.250 eV per atom
SG = I4mm, No. 107
Calculated volume = 34.5 A^3/atom
VASP energy = -5.1801 eV/atom

Lattice parameters (Å, degrees): 8.110 8.110 8.110 98.16 98.16 135.74
Sites, in units of the cell vectors:
Nd 0.000 0.000 0.000
Nd 0.542 0.542 0.623
Nd 0.542 0.919 0.000
Nd 0.919 0.542 0.000
Nd 0.919 0.919 0.377
Dy 0.465 0.465 0.000
Y 0.243 0.567 0.324
Y 0.243 0.919 0.676
Y 0.567 0.243 0.324
Y 0.919 0.243 0.676

[6]
Density functional theory data (PBE) for a geometry-optimized Nd12DyY6 structure.

Summary:
Total moment = 0.000 μB/atom
Calculated formation energy = 0.132 eV per atom
SG = R-3, No. 148
Calculated volume = 34.9 A^3/atom
VASP energy = -5.1626 eV/atom

Lattice parameters (Å, degrees): 8.720 8.720 8.720 89.16 89.16 89.16
Sites, in units of the cell vectors:
Nd 0.018 0.361 0.196
Nd 0.196 0.018 0.361
Nd 0.220 0.567 0.463
Nd 0.361 0.196 0.018
Nd 0.433 0.537 0.780
Nd 0.463 0.220 0.567
Nd 0.537 0.780 0.433
Nd 0.567 0.463 0.220
Nd 0.639 0.804 0.982
Nd 0.780 0.433 0.537
Nd 0.804 0.982 0.639
Nd 0.982 0.639 0.804
Dy 0.000 0.000 0.000
Y 0.099 0.260 0.702
Y 0.260 0.702 0.099
Y 0.298 0.901 0.740
Y 0.702 0.099 0.260
Y 0.740 0.298 0.901
Y 0.901 0.740 0.298

[7]
Density functional theory data (PBE) for a geometry-optimized Nd3DyY6 structure.

Summary:
Total moment = 0.000 μB/atom
Calculated formation energy = 0.142 eV per atom
SG = Cmc2_1, No. 36
Calculated volume = 33.5 A^3/atom
VASP energy = -5.6275 eV/atom

Lattice parameters (Å, degrees): 10.940 10.940 6.448 90.00 90.00 119.81
Sites, in units of the cell vectors:
Nd 0.113 0.887 0.500
Nd 0.207 0.436 0.108
Nd 0.436 0.207 0.608
Nd 0.564 0.793 0.108
Nd 0.793 0.564 0.608
Nd 0.887 0.113 0.000
Dy 0.308 0.692 0.433
Dy 0.692 0.308 0.933
Y 0.028 0.445 0.698
Y 0.124 0.212 0.517
Y 0.212 0.124 0.017
Y 0.233 0.767 0.911
Y 0.445 0.028 0.198
Y 0.461 0.539 0.709
Y 0.539 0.461 0.209
Y 0.555 0.972 0.698
Y 0.767 0.233 0.411
Y 0.788 0.876 0.517
Y 0.876 0.788 0.017
Y 0.972 0.555 0.198

[8]
Density functional theory data (PBE) for a geometry-optimized Nd4Dy2Y3 structure.

Summary:
Total moment = 0.000 μB/atom
Calculated formation energy = 0.042 eV per atom
SG = Cccm, No. 66
Calculated volume = 33.4 A^3/atom
VASP energy = -5.2541 eV/atom

Lattice parameters (Å, degrees): 9.854 9.854 7.139 90.00 90.00 119.99
Sites, in units of the cell vectors:
Nd 0.023 0.677 0.000
Nd 0.321 0.349 0.000
Nd 0.323 0.977 0.500
Nd 0.349 0.321 0.500
Nd 0.651 0.679 0.500
Nd 0.677 0.023 0.500
Nd 0.679 0.651 0.000
Nd 0.977 0.323 0.000
Dy 0.025 0.347 0.500
Dy 0.347 0.025 0.000
Dy 0.653 0.975 0.000
Dy 0.975 0.653 0.500
Y 0.000 0.000 0.250
Y 0.000 0.000 0.750
Y 0.330 0.670 0.250
Y 0.330 0.670 0.750
Y 0.670 0.330 0.250
Y 0.670 0.330 0.750

[9]
Density functional theory data (PBE) for a geometry-optimized Nd6Dy5Y2 structure.

Summary:
Total moment = 0.000 μB/atom
Calculated formation energy = 0.098 eV per atom
SG = Pbam, No. 55
Calculated volume = 33.9 A^3/atom
VASP energy = -4.8666 eV/atom

Lattice parameters (Å, degrees): 11.766 20.636 3.633 90.00 90.00 90.00
Sites, in units of the cell vectors:
Nd 0.059 0.080 0.000
Nd 0.082 0.367 0.000
Nd 0.174 0.633 0.500
Nd 0.326 0.133 0.500
Nd 0.418 0.867 0.000
Nd 0.441 0.580 0.000
Nd 0.559 0.420 0.000
Nd 0.582 0.133 0.000
Nd 0.674 0.867 0.500
Nd 0.826 0.367 0.500
Nd 0.918 0.633 0.000
Nd 0.941 0.920 0.000
Dy 0.000 0.500 0.500
Dy 0.093 0.226 0.500
Dy 0.199 0.945 0.500
Dy 0.301 0.445 0.500
Dy 0.407 0.726 0.500
Dy 0.500 0.000 0.500
Dy 0.593 0.274 0.500
Dy 0.699 0.555 0.500
Dy 0.801 0.055 0.500
Dy 0.907 0.774 0.500
Y 0.166 0.789 0.000
Y 0.334 0.289 0.000
Y 0.666 0.711 0.000
Y 0.834 0.211 0.000

[10]
Density functional theory data (PBE) for a geometry-optimized NdDy12Y6 structure.

Summary:
Total moment = 0.000 μB/atom
Calculated formation energy = 0.446 eV per atom
SG = R-3m, No. 166
Calculated volume = 34.6 A^3/atom
VASP energy = -4.7530 eV/atom

Lattice parameters (Å, degrees): 9.390 9.390 9.390 108.58 108.58 108.58
Sites, in units of the cell vectors:
Nd 0.000 0.000 0.000
Dy 0.108 0.500 0.892
Dy 0.108 0.892 0.500
Dy 0.161 0.370 0.370
Dy 0.370 0.161 0.370
Dy 0.370 0.370 0.161
Dy 0.500 0.108 0.892
Dy 0.500 0.892 0.108
Dy 0.630 0.630 0.839
Dy 0.630 0.839 0.630
Dy 0.839 0.630 0.630
Dy 0.892 0.108 0.500
Dy 0.892 0.500 0.108
Y 0.246 0.677 0.677
Y 0.323 0.323 0.754
Y 0.323 0.754 0.323
Y 0.677 0.246 0.677
Y 0.677 0.677 0.246
Y 0.754 0.323 0.323

[11]
Density functional theory data (PBE) for a geometry-optimized Nd4Dy3Y8 structure.

Summary:
Total moment = 0.044 μB/atom
Calculated formation energy = 0.366 eV per atom
SG = C2/m, No. 12
Calculated volume = 34.2 A^3/atom
VASP energy = -5.2736 eV/atom

Lattice parameters (Å, degrees): 9.343 9.343 6.796 111.25 111.25 87.27
Sites, in units of the cell vectors:
Nd 0.000 0.000 0.000
Nd 0.000 0.000 0.500
Nd 0.000 0.500 0.000
Nd 0.500 0.000 0.000
Dy 0.000 0.500 0.500
Dy 0.500 0.000 0.500
Dy 0.500 0.500 0.000
Y 0.254 0.746 0.000
Y 0.267 0.267 0.512
Y 0.270 0.270 0.035
Y 0.360 0.640 0.500
Y 0.640 0.360 0.500
Y 0.730 0.730 0.965
Y 0.733 0.733 0.488
Y 0.746 0.254 0.000

[12]
Density functional theory data (PBE) for a geometry-optimized Nd2Dy2Y15 structure.

Summary:
Total moment = 0.000 μB/atom
Calculated formation energy = 0.286 eV per atom
SG = R-3m, No. 166
Calculated volume = 34.4 A^3/atom
VASP energy = -5.8033 eV/atom

Lattice parameters (Å, degrees): 8.803 8.803 8.803 79.86 79.86 79.86
Sites, in units of the cell vectors:
Nd 0.175 0.175 0.175
Nd 0.825 0.825 0.825
Dy 0.404 0.404 0.404
Dy 0.596 0.596 0.596
Y 0.000 0.500 0.500
Y 0.132 0.132 0.649
Y 0.132 0.649 0.132
Y 0.202 0.500 0.798
Y 0.202 0.798 0.500
Y 0.351 0.868 0.868
Y 0.500 0.000 0.500
Y 0.500 0.202 0.798
Y 0.500 0.500 0.000
Y 0.500 0.798 0.202
Y 0.649 0.132 0.132
Y 0.798 0.202 0.500
Y 0.798 0.500 0.202
Y 0.868 0.351 0.868
Y 0.868 0.868 0.351

[13]
Density functional theory data (PBE) for a geometry-optimized Nd12DyY3 structure.

Summary:
Total moment = 0.000 μB/atom
Calculated formation energy = 0.012 eV per atom
SG = P4/mmm, No. 123
Calculated volume = 34.4 A^3/atom
VASP energy = -5.0636 eV/atom

Lattice parameters (Å, degrees): 5.168 5.168 20.611 90.00 90.00 90.00
Sites, in units of the cell vectors:
Nd 0.000 0.000 0.000
Nd 0.000 0.000 0.250
Nd 0.000 0.000 0.500
Nd 0.000 0.000 0.750
Nd 0.000 0.500 0.124
Nd 0.000 0.500 0.375
Nd 0.000 0.500 0.625
Nd 0.000 0.500 0.876
Nd 0.500 0.000 0.124
Nd 0.500 0.000 0.375
Nd 0.500 0.000 0.625
Nd 0.500 0.000 0.876
Dy 0.500 0.500 0.000
Y 0.500 0.500 0.250
Y 0.500 0.500 0.500
Y 0.500 0.500 0.750

[14]
Density functional theory data (PBE) for a geometry-optimized Nd2DyY structure.

Summary:
Total moment = 0.000 μB/atom
Calculated formation energy = 0.018 eV per atom
SG = P4/mmm, No. 123
Calculated volume = 33.5 A^3/atom
VASP energy = -5.1324 eV/atom

Lattice parameters (Å, degrees): 3.627 3.627 10.199 90.00 90.00 90.00
Sites, in units of the cell vectors:
Nd 0.000 0.000 0.249
Nd 0.000 0.000 0.751
Dy 0.500 0.500 0.000
Y 0.500 0.500 0.500

[15]
Density functional theory data (PBE) for a geometry-optimized Nd7Dy3Y2 structure.

Summary:
Total moment = 0.000 μB/atom
Calculated formation energy = 0.069 eV per atom
SG = P2/m, No. 10
Calculated volume = 34.0 A^3/atom
VASP energy = -4.9397 eV/atom

Lattice parameters (Å, degrees): 6.495 3.576 17.659 90.00 95.87 90.00
Sites, in units of the cell vectors:
Nd 0.000 0.000 0.000
Nd 0.227 0.500 0.171
Nd 0.258 0.500 0.495
Nd 0.275 0.000 0.833
Nd 0.725 0.000 0.167
Nd 0.742 0.500 0.505
Nd 0.773 0.500 0.829
Dy 0.455 0.000 0.340
Dy 0.500 0.500 0.000
Dy 0.545 0.000 0.660
Y 0.058 0.500 0.670
Y 0.942 0.500 0.330

[16]
Density functional theory data (PBE) for a geometry-optimized Nd2Dy3Y3 structure.

Summary:
Total moment = 0.000 μB/atom
Calculated formation energy = 0.023 eV per atom
SG = Immm, No. 71
Calculated volume = 32.7 A^3/atom
VASP energy = -5.3190 eV/atom

Lattice parameters (Å, degrees): 5.084 5.084 20.239 90.00 90.00 90.00
Sites, in units of the cell vectors:
Nd 0.000 0.000 0.250
Nd 0.000 0.000 0.750
Nd 0.500 0.500 0.250
Nd 0.500 0.500 0.750
Dy 0.000 0.000 0.000
Dy 0.000 0.500 0.123
Dy 0.000 0.500 0.877
Dy 0.500 0.000 0.377
Dy 0.500 0.000 0.623
Dy 0.500 0.500 0.500
Y 0.000 0.000 0.500
Y 0.000 0.500 0.377
Y 0.000 0.500 0.623
Y 0.500 0.000 0.123
Y 0.500 0.000 0.877
Y 0.500 0.500 0.000

[17]
Density functional theory data (PBE) for a geometry-optimized Nd6Dy2Y3 structure.

Summary:
Total moment = 0.000 μB/atom
Calculated formation energy = 0.289 eV per atom
SG = I4/mmm, No. 139
Calculated volume = 35.6 A^3/atom
VASP energy = -4.9115 eV/atom

Lattice parameters (Å, degrees): 17.189 17.189 17.189 163.89 163.89 22.87
Sites, in units of the cell vectors:
Nd 0.119 0.619 0.500
Nd 0.196 0.196 0.000
Nd 0.381 0.881 0.500
Nd 0.619 0.119 0.500
Nd 0.804 0.804 0.000
Nd 0.881 0.381 0.500
Dy 0.045 0.045 0.000
Dy 0.955 0.955 0.000
Y 0.299 0.299 0.000
Y 0.500 0.500 0.000
Y 0.701 0.701 0.000

[18]
Density functional theory data (PBE) for a geometry-optimized Nd7Dy6Y16 structure.

Summary:
Total moment = 0.000 μB/atom
Calculated formation energy = 0.182 eV per atom
SG = Fm-3m, No. 225
Calculated volume = 33.5 A^3/atom
VASP energy = -5.4870 eV/atom

Lattice parameters (Å, degrees): 11.122 11.122 11.122 60.00 60.00 60.00
Sites, in units of the cell vectors:
Nd 0.000 0.000 0.000
Nd 0.000 0.000 0.500
Nd 0.000 0.500 0.000
Nd 0.000 0.500 0.500
Nd 0.500 0.000 0.000
Nd 0.500 0.000 0.500
Nd 0.500 0.500 0.000
Dy 0.224 0.224 0.776
Dy 0.224 0.776 0.224
Dy 0.224 0.776 0.776
Dy 0.776 0.224 0.224
Dy 0.776 0.224 0.776
Dy 0.776 0.776 0.224
Y 0.150 0.150 0.150
Y 0.150 0.150 0.550
Y 0.150 0.550 0.150
Y 0.161 0.613 0.613
Y 0.387 0.387 0.387
Y 0.387 0.387 0.839
Y 0.387 0.839 0.387
Y 0.450 0.850 0.850
Y 0.550 0.150 0.150
Y 0.613 0.161 0.613
Y 0.613 0.613 0.161
Y 0.613 0.613 0.613
Y 0.839 0.387 0.387
Y 0.850 0.450 0.850
Y 0.850 0.850 0.450
Y 0.850 0.850 0.850